[1]
{"formula": "CePd3S3", "functional": "PBE", "state": "optimized geometry", "lattice_angstrom": [[-0.647, 6.073, 3.195], [-3.495, 0.422, 5.926], [4.196, 0.984, 6.413]], "species": ["Pd", "Pd", "Pd", "Pd", "Pd", "Pd", "S", "S", "S", "S", "S", "S", "Ce", "Ce"], "fractional_positions": [[0.875, 0.542, 0.371], [0.125, 0.458, 0.629], [0.788, 0.125, 0.629], [0.458, 0.788, 0.629], [0.542, 0.212, 0.371], [0.212, 0.875, 0.371], [0.741, 0.415, 0.762], [0.585, 0.919, 0.238], [0.415, 0.081, 0.762], [0.259, 0.585, 0.238], [0.919, 0.259, 0.238], [0.081, 0.741, 0.762], [0.667, 0.667, 0.999], [0.333, 0.333, 0.001]], "dos_at_fermi_per_ev_cell": 18.988, "vol_a3_per_cell": 272, "e_form_raw_mev_per_atom": -792}

[2]
{"formula": "TaBSe", "functional": "PBE", "state": "optimized geometry", "lattice_angstrom": [[3.256, -0.014, -0.022], [-1.615, 2.827, 0.022], [-1.554, -0.978, 10.806]], "species": ["B", "B", "Ta", "Ta", "Se", "Se"], "fractional_positions": [[0.667, 0.834, 0.501], [0.333, 0.166, 0.499], [0.096, 0.548, 0.644], [0.904, 0.452, 0.356], [0.541, 0.271, 0.811], [0.459, 0.729, 0.189]], "dos_at_fermi_per_ev_cell": 0.752, "vol_a3_per_cell": 99, "e_form_raw_mev_per_atom": -804}

[3]
{"formula": "NdErGa2Pd2", "functional": "PBE", "state": "optimized geometry", "lattice_angstrom": [[-2.047, 3.976, -0.618], [-2.448, -3.678, 0.928], [0.565, 1.361, 6.885]], "species": ["Pd", "Pd", "Ga", "Ga", "Nd", "Er"], "fractional_positions": [[0.667, 0.333, 0.277], [0.333, 0.667, 0.723], [0.667, 0.333, 0.728], [0.333, 0.667, 0.272], [0.000, 0.000, 0.000], [0.000, 0.000, 0.500]], "dos_at_fermi_per_ev_cell": 4.183, "vol_a3_per_cell": 124, "formation_energy_ev_per_atom": -0.843}

[4]
{"formula": "Na2As2Pb", "functional": "PBE", "state": "optimized geometry", "lattice_angstrom": [[7.557, 0.000, 0.000], [0.000, 7.557, 0.000], [0.000, 0.000, 4.570]], "species": ["Na", "Na", "Na", "Na", "Pb", "Pb", "As", "As", "As", "As"], "fractional_positions": [[0.326, 0.174, 0.500], [0.826, 0.326, 0.500], [0.674, 0.826, 0.500], [0.174, 0.674, 0.500], [0.500, 0.500, 0.000], [0.000, 0.000, 0.000], [0.385, 0.885, 0.000], [0.615, 0.115, 0.000], [0.115, 0.385, 0.000], [0.885, 0.615, 0.000]], "dos_at_fermi_per_ev_cell": 4.431, "vol_a3_per_cell": 261, "formation_energy_ev_per_atom": -0.266, "de_polymorph_ev_per_fu": 0.000}

[5]
{"formula": "LiPb3F6", "functional": "PBE", "state": "optimized geometry", "lattice_angstrom": [[-1.731, 1.256, 5.112], [-4.352, -6.838, 0.207], [6.809, -3.147, 3.079]], "species": ["F", "F", "F", "F", "F", "F", "F", "F", "F", "F", "F", "F", "Li", "Li", "Pb", "Pb", "Pb", "Pb", "Pb", "Pb"], "fractional_positions": [[0.662, 0.208, 0.792], [0.162, 0.792, 0.208], [0.687, 0.940, 0.060], [0.665, 0.883, 0.406], [0.724, 0.601, 0.674], [0.665, 0.594, 0.117], [0.165, 0.406, 0.883], [0.187, 0.060, 0.940], [0.724, 0.326, 0.399], [0.224, 0.674, 0.601], [0.165, 0.117, 0.594], [0.224, 0.399, 0.326], [0.005, 0.196, 0.804], [0.505, 0.804, 0.196], [0.468, 0.919, 0.715], [0.916, 0.612, 0.388], [0.416, 0.388, 0.612], [0.968, 0.715, 0.919], [0.968, 0.081, 0.285], [0.468, 0.285, 0.081]], "dos_at_fermi_per_ev_cell": 5.710, "vol_a3_per_cell": 362, "e_form_raw_mev_per_atom": -2208}

[6]
{"formula": "LaAlPd", "functional": "PBE", "state": "optimized geometry", "lattice_angstrom": [[3.327, 0.000, 0.000], [0.000, 3.327, 0.000], [-1.664, -1.664, 5.827]], "species": ["Al", "La", "Pd"], "fractional_positions": [[0.296, 0.296, 0.593], [0.004, 0.004, 0.009], [0.699, 0.699, 0.398]], "dos_at_fermi_per_ev_cell": 3.783, "vol_a3_per_cell": 65, "formation_energy_ev_per_atom": -0.618}

Which formula does entry 6 have? LaAlPd